[1]
Density functional theory data (GGA-PBE) for an optimized crystal structure of HfZr3N4.

Cell and atoms, written as POSCAR:
```
HfZr3N4
1.0
4.5983 0.0000 0.0000
0.0000 4.5983 0.0000
0.0000 0.0000 4.5983
Hf Zr N
1 3 4
Direct
0.0000 0.0000 0.0000 Hf
0.0000 0.5000 0.5000 Zr
0.5000 0.0000 0.5000 Zr
0.5000 0.5000 0.0000 Zr
0.0000 0.0000 0.5000 N
0.0000 0.5000 0.0000 N
0.5000 0.0000 0.0000 N
0.5000 0.5000 0.5000 N
```

Values from the calculation:
Raw formation energy: -1.686 eV per atom
Distance to the lowest polymorph of the same formula: 0.15 eV/f.u.
Size of the total moment: 0.00 μB/f.u.


[2]
Density functional theory data (GGA-PBE) for an optimized crystal structure of CaSb2O4.

Cell and atoms, written as POSCAR:
```
CaSb2O4
1.0
10.9866 0.0000 0.0000
0.0000 3.2330 0.0000
0.0000 0.0000 12.9334
Ca Sb O
4 8 16
Direct
0.1787 0.2500 0.1766 Ca
0.3213 0.7500 0.6766 Ca
0.6787 0.2500 0.3234 Ca
0.8213 0.7500 0.8234 Ca
0.0220 0.7500 0.6442 Sb
0.1007 0.2500 0.9118 Sb
0.3993 0.7500 0.4118 Sb
0.4780 0.2500 0.1442 Sb
0.5220 0.7500 0.8558 Sb
0.6007 0.2500 0.5882 Sb
0.8993 0.7500 0.0882 Sb
0.9780 0.2500 0.3558 Sb
0.0517 0.7500 0.8131 O
0.0798 0.7500 0.0518 O
0.0987 0.7500 0.2981 O
0.1622 0.2500 0.6591 O
0.3378 0.7500 0.1591 O
0.4013 0.2500 0.7981 O
0.4202 0.2500 0.5518 O
0.4483 0.2500 0.3131 O
0.5517 0.7500 0.6869 O
0.5798 0.7500 0.4482 O
0.5987 0.7500 0.2019 O
0.6622 0.2500 0.8409 O
0.8378 0.7500 0.3409 O
0.9013 0.2500 0.7019 O
0.9202 0.2500 0.9482 O
0.9483 0.2500 0.1869 O
```

Values from the calculation:
Raw formation energy: -1.706 eV per atom
Distance to the lowest polymorph of the same formula: 0.63 eV/f.u.
Size of the total moment: 0.00 μB/f.u.


[3]
Density functional theory data (GGA-PBE) for an optimized crystal structure of CsPAuS2.

Cell and atoms, written as POSCAR:
```
CsPAuS2
1.0
5.4317 0.0000 0.0000
0.0000 5.4317 0.0000
0.0000 0.0000 5.9326
Cs P Au S
1 1 1 2
Direct
0.0000 0.0000 0.0000 Cs
0.0000 0.0000 0.5000 P
0.5000 0.5000 0.5000 Au
0.0000 0.5000 0.0000 S
0.5000 0.0000 0.0000 S
```

Values from the calculation:
Raw formation energy: 1.793 eV per atom
Distance to the lowest polymorph of the same formula: 7.64 eV/f.u.
Size of the total moment: 2.01 μB/f.u.


[4]
Density functional theory data (GGA-PBE) for an optimized crystal structure of LiHoEr2Tl4.

Cell and atoms, written as POSCAR:
```
LiHoEr2Tl4
1.0
2.6045 1.5037 8.7668
-2.6045 1.5037 8.7668
0.0000 -3.0074 8.7668
Li Ho Er Tl
1 1 2 4
Direct
0.0000 0.0000 0.0000 Li
0.5000 0.5000 0.5000 Ho
0.2540 0.2540 0.2540 Er
0.7460 0.7460 0.7460 Er
0.1226 0.1226 0.1226 Tl
0.3726 0.3726 0.3726 Tl
0.6274 0.6274 0.6274 Tl
0.8774 0.8774 0.8774 Tl
```

Values from the calculation:
Energy of formation: -309.4 meV/atom
Size of the total moment: 0.00 μB/f.u.


[5]
Density functional theory data (GGA-PBE) for an optimized crystal structure of YSiAg2.

Cell and atoms, written as POSCAR:
```
YSiAg2
1.0
1.5619 0.9017 9.6052
-1.5619 0.9017 9.6052
0.0000 -1.8035 9.6052
Y Si Ag
1 1 2
Direct
0.0000 0.0000 0.0000 Y
0.5000 0.5000 0.5000 Si
0.2405 0.2405 0.2405 Ag
0.7595 0.7595 0.7595 Ag
```

Values from the calculation:
Raw formation energy: 0.234 eV per atom
Size of the total moment: 0.00 μB/f.u.


[6]
Density functional theory data (GGA-PBE) for an optimized crystal structure of PmGa3Fe.

Cell and atoms, written as POSCAR:
```
PmGa3Fe
1.0
6.1907 0.0000 0.0000
-3.0953 5.3613 0.0000
0.0000 0.0000 5.5247
Pm Ga Fe
2 6 2
Direct
0.3333 0.6667 0.2500 Pm
0.6667 0.3333 0.7500 Pm
0.1891 0.3782 0.7500 Ga
0.1891 0.8109 0.7500 Ga
0.3782 0.1891 0.2500 Ga
0.6218 0.8109 0.7500 Ga
0.8109 0.1891 0.2500 Ga
0.8109 0.6218 0.2500 Ga
0.0000 0.0000 0.0000 Fe
0.0000 0.0000 0.5000 Fe
```

Values from the calculation:
Energy of formation: -428.2 meV/atom
Distance to the lowest polymorph of the same formula: 0.00 eV/f.u.
Size of the total moment: 2.13 μB/f.u.


[7]
Density functional theory data (GGA-PBE) for an optimized crystal structure of ScHg2Pd8.

Cell and atoms, written as POSCAR:
```
ScHg2Pd8
1.0
7.2456 -2.0573 0.0000
7.2456 2.0573 0.0000
-1.6872 0.0000 6.1403
Sc Hg Pd
1 2 8
Direct
0.0000 0.0000 0.0000 Sc
0.2758 0.2758 0.3524 Hg
0.7242 0.7242 0.6476 Hg
0.0886 0.0886 0.4506 Pd
0.1776 0.1776 0.9101 Pd
0.3664 0.3664 0.8252 Pd
0.4589 0.4589 0.2745 Pd
0.5411 0.5411 0.7255 Pd
0.6336 0.6336 0.1748 Pd
0.8224 0.8224 0.0899 Pd
0.9114 0.9114 0.5494 Pd
```

Values from the calculation:
Energy of formation: -381.4 meV/atom
Size of the total moment: 0.00 μB/f.u.


[8]
Density functional theory data (GGA-PBE) for an optimized crystal structure of YAsOs2.

Cell and atoms, written as POSCAR:
```
YAsOs2
1.0
2.9537 0.0000 0.0000
0.0000 3.9772 0.0000
0.0000 0.0000 6.0838
Y As Os
1 1 2
Direct
0.0000 0.0000 0.0000 Y
0.5000 0.5000 0.2908 As
0.0000 0.0000 0.5230 Os
0.5000 0.5000 0.6939 Os
```

Values from the calculation:
Energy of formation: 74.2 meV/atom
Size of the total moment: 0.00 μB/f.u.